No. 1
{
  "formula": "ZrAlAg2",
  "functional": "meta-GGA SCAN",
  "state": "PBEsol geometry",
  "lattice_angstrom": [[3.096, 0.000, 0.000], [0.000, 3.096, 0.000], [0.000, 0.000, 7.289]],
  "species": ["Zr", "Al", "Ag", "Ag"],
  "fractional_positions": [[0.000, 0.000, 0.000], [0.500, 0.500, 0.738], [0.000, 0.000, 0.522], [0.500, 0.500, 0.274]],
  "sg": "No. 99",
  "dos_at_fermi_per_ev_atom": 0.6030,
  "total_energy_ev_per_atom": -25.509,
  "total_magnetization_mub_per_atom": 0.001
}

No. 2
{
  "formula": "ZrAlAg2",
  "functional": "meta-GGA SCAN",
  "state": "PBEsol geometry",
  "lattice_angstrom": [[6.536, 0.000, 0.000], [0.000, 6.536, 0.000], [0.000, 0.000, 6.536]],
  "species": ["Zr", "Zr", "Zr", "Zr", "Al", "Al", "Al", "Al", "Ag", "Ag", "Ag", "Ag", "Ag", "Ag", "Ag", "Ag"],
  "fractional_positions": [[0.000, 0.000, 0.000], [0.000, 0.500, 0.500], [0.500, 0.000, 0.500], [0.500, 0.500, 0.000], [0.250, 0.250, 0.750], [0.250, 0.750, 0.250], [0.750, 0.250, 0.250], [0.750, 0.750, 0.750], [0.000, 0.000, 0.500], [0.000, 0.500, 0.000], [0.250, 0.250, 0.250], [0.250, 0.750, 0.750], [0.500, 0.000, 0.000], [0.500, 0.500, 0.500], [0.750, 0.250, 0.750], [0.750, 0.750, 0.250]],
  "sg": "No. 216",
  "dos_at_fermi_per_ev_atom": 0.4462,
  "total_energy_ev_per_atom": -25.459,
  "total_magnetization_mub_per_atom": 0.000
}

No. 3
{
  "formula": "Zr2AlAg",
  "functional": "meta-GGA SCAN",
  "state": "PBEsol geometry",
  "lattice_angstrom": [[3.102, 0.000, 0.000], [0.000, 4.006, 0.000], [0.000, 0.000, 6.178]],
  "species": ["Zr", "Zr", "Al", "Ag"],
  "fractional_positions": [[0.000, 0.000, 0.000], [0.500, 0.500, 0.266], [0.500, 0.500, 0.761], [0.000, 0.000, 0.527]],
  "sg": "No. 25",
  "dos_at_fermi_per_ev_atom": 0.5595,
  "total_energy_ev_per_atom": -25.268,
  "total_magnetization_mub_per_atom": 0.000
}

No. 4
{
  "formula": "Zr4AlAg",
  "functional": "meta-GGA SCAN",
  "state": "PBEsol geometry",
  "lattice_angstrom": [[0.000, 3.945, 3.945], [3.945, 0.000, 3.945], [3.945, 3.945, 0.000]],
  "species": ["Zr", "Zr", "Zr", "Zr", "Al", "Ag"],
  "fractional_positions": [[0.124, 0.124, 0.124], [0.124, 0.124, 0.628], [0.124, 0.628, 0.124], [0.628, 0.124, 0.124], [0.750, 0.750, 0.750], [0.500, 0.500, 0.500]],
  "sg": "No. 216",
  "dos_at_fermi_per_ev_atom": 0.7577,
  "total_energy_ev_per_atom": -26.652,
  "total_magnetization_mub_per_atom": 0.000
}

No. 5
{
  "formula": "AgAs3",
  "functional": "meta-GGA SCAN",
  "state": "PBEsol geometry",
  "lattice_angstrom": [[7.629, 0.000, 0.000], [0.000, 7.638, 0.000], [0.000, 0.000, 5.375]],
  "species": ["Ag", "Ag", "Ag", "Ag", "As", "As", "As", "As", "As", "As", "As", "As", "As", "As", "As", "As"],
  "fractional_positions": [[0.000, 0.035, 0.250], [0.000, 0.965, 0.750], [0.500, 0.465, 0.750], [0.500, 0.535, 0.250], [0.000, 0.470, 0.750], [0.000, 0.530, 0.250], [0.227, 0.238, 0.750], [0.227, 0.762, 0.250], [0.273, 0.262, 0.250], [0.273, 0.738, 0.750], [0.500, 0.030, 0.250], [0.500, 0.970, 0.750], [0.727, 0.262, 0.250], [0.727, 0.738, 0.750], [0.773, 0.238, 0.750], [0.773, 0.762, 0.250]],
  "sg": "No. 63",
  "dos_at_fermi_per_ev_atom": 0.2228,
  "total_energy_ev_per_atom": -22.863,
  "polymorph_energy_mev_per_atom": 0.0,
  "total_magnetization_mub_per_atom": 0.000
}

No. 6
{
  "formula": "Ag5As",
  "functional": "meta-GGA SCAN",
  "state": "PBEsol geometry",
  "lattice_angstrom": [[4.705, 0.000, 0.000], [0.000, 2.862, 0.000], [0.000, 0.000, 15.058]],
  "species": ["Ag", "Ag", "Ag", "Ag", "Ag", "Ag", "Ag", "Ag", "Ag", "Ag", "As", "As"],
  "fractional_positions": [[0.000, 0.000, 0.000], [0.000, 0.000, 0.332], [0.000, 0.000, 0.666], [0.000, 0.500, 0.166], [0.000, 0.500, 0.500], [0.000, 0.500, 0.832], [0.500, 0.000, 0.109], [0.500, 0.000, 0.774], [0.500, 0.500, 0.274], [0.500, 0.500, 0.609], [0.500, 0.000, 0.440], [0.500, 0.500, 0.940]],
  "sg": "No. 38",
  "dos_at_fermi_per_ev_atom": 0.2848,
  "total_energy_ev_per_atom": -29.435,
  "polymorph_energy_mev_per_atom": 16.6,
  "total_magnetization_mub_per_atom": 0.000
}

No. 7
{
  "formula": "Ag7As",
  "functional": "meta-GGA SCAN",
  "state": "PBEsol geometry",
  "lattice_angstrom": [[0.000, 4.067, 4.067], [4.067, 0.000, 4.067], [4.067, 4.067, 0.000]],
  "species": ["Ag", "Ag", "Ag", "Ag", "Ag", "Ag", "Ag", "As"],
  "fractional_positions": [[0.000, 0.000, 0.000], [0.000, 0.000, 0.500], [0.000, 0.500, 0.000], [0.000, 0.500, 0.500], [0.500, 0.000, 0.000], [0.500, 0.000, 0.500], [0.500, 0.500, 0.000], [0.500, 0.500, 0.500]],
  "sg": "No. 225",
  "dos_at_fermi_per_ev_atom": 0.4518,
  "total_energy_ev_per_atom": -29.914,
  "total_magnetization_mub_per_atom": 0.000
}

No. 8
{
  "formula": "Ag5As",
  "functional": "meta-GGA SCAN",
  "state": "PBEsol geometry",
  "lattice_angstrom": [[10.623, 0.000, 0.000], [0.000, 2.877, 0.000], [-1.757, 0.000, 6.619]],
  "species": ["Ag", "Ag", "Ag", "Ag", "Ag", "Ag", "Ag", "Ag", "Ag", "Ag", "As", "As"],
  "fractional_positions": [[0.000, 0.000, 0.000], [0.053, 0.000, 0.610], [0.166, 0.500, 0.334], [0.330, 0.000, 0.667], [0.390, 0.000, 0.281], [0.500, 0.500, 0.000], [0.553, 0.500, 0.610], [0.666, 0.000, 0.334], [0.830, 0.500, 0.667], [0.890, 0.500, 0.281], [0.223, 0.500, 0.950], [0.723, 0.000, 0.950]],
  "sg": "No. 8",
  "dos_at_fermi_per_ev_atom": 0.2556,
  "total_energy_ev_per_atom": -29.445,
  "polymorph_energy_mev_per_atom": 6.5,
  "total_magnetization_mub_per_atom": 0.000
}

No. 9
{
  "formula": "Ag3As5",
  "functional": "meta-GGA SCAN",
  "state": "PBEsol geometry",
  "lattice_angstrom": [[7.391, 0.000, 0.000], [0.000, 8.027, 0.000], [0.000, 0.000, 4.923]],
  "species": ["Ag", "Ag", "Ag", "Ag", "Ag", "Ag", "As", "As", "As", "As", "As", "As", "As", "As", "As", "As"],
  "fractional_positions": [[0.000, 0.000, 0.000], [0.000, 0.190, 0.500], [0.000, 0.810, 0.500], [0.500, 0.310, 0.500], [0.500, 0.500, 0.000], [0.500, 0.690, 0.500], [0.000, 0.500, 0.000], [0.186, 0.500, 0.500], [0.250, 0.250, 0.000], [0.250, 0.750, 0.000], [0.314, 0.000, 0.500], [0.500, 0.000, 0.000], [0.686, 0.000, 0.500], [0.750, 0.250, 0.000], [0.750, 0.750, 0.000], [0.814, 0.500, 0.500]],
  "sg": "No. 65",
  "dos_at_fermi_per_ev_atom": 0.3822,
  "total_energy_ev_per_atom": -24.056,
  "total_magnetization_mub_per_atom": 0.000
}

No. 10
{
  "formula": "AgAs",
  "functional": "meta-GGA SCAN",
  "state": "PBEsol geometry",
  "lattice_angstrom": [[4.038, 0.000, 0.000], [-2.019, 3.497, 0.000], [0.000, 0.000, 5.476]],
  "species": ["Ag", "Ag", "As", "As"],
  "fractional_positions": [[0.000, 0.000, 0.000], [0.000, 0.000, 0.500], [0.333, 0.667, 0.250], [0.667, 0.333, 0.750]],
  "sg": "No. 194",
  "dos_at_fermi_per_ev_atom": 0.4158,
  "total_energy_ev_per_atom": -25.546,
  "polymorph_energy_mev_per_atom": 43.9,
  "total_magnetization_mub_per_atom": 0.000
}

No. 11
{
  "formula": "AgAs3",
  "functional": "meta-GGA SCAN",
  "state": "PBEsol geometry",
  "lattice_angstrom": [[3.542, 0.000, 0.000], [0.000, 4.135, 0.000], [0.000, 0.000, 10.305]],
  "species": ["Ag", "Ag", "As", "As", "As", "As", "As", "As"],
  "fractional_positions": [[0.000, 0.000, 0.000], [0.500, 0.500, 0.500], [0.000, 0.000, 0.500], [0.000, 0.500, 0.203], [0.000, 0.500, 0.797], [0.500, 0.000, 0.297], [0.500, 0.000, 0.703], [0.500, 0.500, 0.000]],
  "sg": "No. 71",
  "dos_at_fermi_per_ev_atom": 0.3327,
  "total_energy_ev_per_atom": -22.678,
  "polymorph_energy_mev_per_atom": 184.5,
  "total_magnetization_mub_per_atom": 0.000
}

No. 12
{
  "formula": "Ag2As",
  "functional": "meta-GGA SCAN",
  "state": "PBEsol geometry",
  "lattice_angstrom": [[4.600, 0.000, 0.000], [-2.300, 3.983, 0.000], [0.000, 0.000, 2.859]],
  "species": ["Ag", "Ag", "As"],
  "fractional_positions": [[0.333, 0.667, 0.249], [0.667, 0.333, 0.751], [0.000, 0.000, 0.500]],
  "sg": "No. 164",
  "dos_at_fermi_per_ev_atom": 0.4922,
  "total_energy_ev_per_atom": -27.458,
  "polymorph_energy_mev_per_atom": 41.5,
  "total_magnetization_mub_per_atom": 0.000
}

No. 13
{
  "formula": "Ag5As",
  "functional": "meta-GGA SCAN",
  "state": "PBEsol geometry",
  "lattice_angstrom": [[4.023, 0.000, 0.000], [0.000, 12.365, 0.000], [0.000, 0.000, 4.060]],
  "species": ["Ag", "Ag", "Ag", "Ag", "Ag", "Ag", "Ag", "Ag", "Ag", "Ag", "As", "As"],
  "fractional_positions": [[0.000, 0.000, 0.000], [0.000, 0.167, 0.500], [0.000, 0.332, 0.000], [0.000, 0.668, 0.000], [0.000, 0.833, 0.500], [0.500, 0.168, 0.000], [0.500, 0.333, 0.500], [0.500, 0.500, 0.000], [0.500, 0.667, 0.500], [0.500, 0.832, 0.000], [0.000, 0.500, 0.500], [0.500, 0.000, 0.500]],
  "sg": "No. 65",
  "dos_at_fermi_per_ev_atom": 0.2662,
  "total_energy_ev_per_atom": -29.452,
  "polymorph_energy_mev_per_atom": 0.0,
  "total_magnetization_mub_per_atom": 0.000
}

No. 14
{
  "formula": "AgAs",
  "functional": "meta-GGA SCAN",
  "state": "PBEsol geometry",
  "lattice_angstrom": [[2.744, 0.000, 0.000], [0.000, 12.166, 0.000], [0.000, 0.000, 4.389]],
  "species": ["Ag", "Ag", "Ag", "Ag", "As", "As", "As", "As"],
  "fractional_positions": [[0.000, 0.203, 0.250], [0.000, 0.797, 0.750], [0.500, 0.297, 0.750], [0.500, 0.703, 0.250], [0.000, 0.070, 0.750], [0.000, 0.930, 0.250], [0.500, 0.430, 0.250], [0.500, 0.570, 0.750]],
  "sg": "No. 63",
  "dos_at_fermi_per_ev_atom": 0.3733,
  "total_energy_ev_per_atom": -25.590,
  "polymorph_energy_mev_per_atom": 0.0,
  "total_magnetization_mub_per_atom": 0.000
}